[1]
A plane-wave DFT calculation with PBE was carried out for an optimized crystal structure of LuHf2B.

Cell: 6.682 6.682 6.682 Å, 90.00 90.00 90.00°
Space group F-43m (No. 216)
Symmetry-distinct sites (fractional):
Lu  0.000  0.000  0.000 (multiplicity 4)
Hf  0.000  0.000  0.500 (multiplicity 4)
Hf  0.250  0.250  0.250 (multiplicity 4)
B  0.250  0.250  0.750 (multiplicity 4)

Properties
Total energy in eV per atom: -7.095
Magnetic moment in μB/atom: 0.002

[2]
A plane-wave DFT calculation with PBE was carried out for an optimized crystal structure of DyErZr.

Cell: 7.289 7.289 7.289 Å, 90.00 90.00 90.00°
Space group F-43m (No. 216)
Symmetry-distinct sites (fractional):
Dy  0.000  0.000  0.000 (multiplicity 4)
Er  0.250  0.250  0.250 (multiplicity 4)
Zr  0.000  0.000  0.500 (multiplicity 4)

Properties
Total energy in eV per atom: -4.964
Formation enthalpy at 0 K in eV/atom: 0.940
Magnetic moment in μB/atom: 0.006